# 1
Material: Pb2Cl
Method: DFT, PBEsol
State: optimized geometry

abc: 5.283 5.283 3.318
angles: 90.00 90.00 120.00
Fractional coordinates of all 3 atoms:
1 Pb 0.333 0.667 0.235
2 Pb 0.667 0.333 0.765
3 Cl 0.000 0.000 0.000

## Properties
Symmetry: No. 164

***

# 2
Material: RbPd2PbCl
Method: DFT, PBEsol
State: optimized geometry

abc: 5.063 5.063 5.522
angles: 90.00 90.00 90.00
Fractional coordinates of all 5 atoms:
1 Rb 0.000 0.000 0.000
2 Pd 0.000 0.500 0.000
3 Pd 0.500 0.000 0.000
4 Pb 0.500 0.500 0.500
5 Cl 0.000 0.000 0.500

## Properties
Symmetry: No. 123

***

# 3
Material: PtPbCl2
Method: DFT, PBEsol
State: optimized geometry

abc: 5.909 5.909 5.909
angles: 140.66 140.66 56.85
Fractional coordinates of all 4 atoms:
1 Pt 0.000 0.000 0.000
2 Pb 0.250 0.750 0.500
3 Cl 0.500 0.500 0.000
4 Cl 0.750 0.250 0.500

## Properties
Symmetry: No. 119
E above lowest polymorph: 84 meV per atom

***

# 4
Material: PtPbCl2
Method: DFT, PBEsol
State: optimized geometry

abc: 8.318 8.318 8.318
angles: 24.12 24.12 24.12
Fractional coordinates of all 4 atoms:
1 Pt 0.000 0.000 0.000
2 Pb 0.500 0.500 0.500
3 Cl 0.268 0.268 0.268
4 Cl 0.732 0.732 0.732

## Properties
Symmetry: No. 166
E above lowest polymorph: 133 meV per atom

***

DFT total energy (eV per atom)
-3.64 -3.01 -3.74 -3.69
Mass density (g cm⁻³)
9.31 6.35 9.55 9.31